Here is TaCoSiTc after structural relaxation from the Open Quantum Materials Database. Energies are from GGA-PBE.

Unit cell a=6.0372 b=6.0372 c=6.0372 alpha=90.00 beta=90.00 gamma=90.00
Space group F-43m (No. 216)
Symmetry-distinct sites (fractional):
Ta: 0.0000 0.0000 0.0000 x4
Co: 0.2500 0.2500 0.7500 x4
Si: 0.0000 0.0000 0.5000 x4
Tc: 0.2500 0.2500 0.2500 x4

## Properties
VASP energy = -9.06 eV/atom


Here is AcZn after structural relaxation from the Open Quantum Materials Database. Energies are from GGA-PBE.

Unit cell a=4.1758 b=5.7373 c=10.2214 alpha=90.00 beta=90.00 gamma=90.00
Space group Pmmn (No. 59, origin choice 2)
Symmetry-distinct sites (fractional):
Ac: 0.2500 0.2500 0.0530 x2
Ac: 0.2500 0.7500 0.3110 x2
Zn: 0.2500 0.2500 0.4534 x2
Zn: 0.2500 0.7500 0.6969 x2

## Properties
VASP energy = -2.81 eV/atom
Formation enthalpy at 0 K = -0.1228 eV per atom


Look up the VASP energy of the second one. -2.81 eV/atom


The highest VASP energy belongs to which entry? AcZn


What is the VASP energy in the second record? -2.81 eV/atom


What is the VASP energy in the first record? -9.06 eV/atom